# 1
Computed, not measured: TiSeIO2 after structural relaxation at the GGA-PBE level of DFT.

Values from the calculation:
polymorph energy (0 for the lowest one): 0 meV/atom
ρ: 4.9 g/cm3
final energy: -5.666 eV per atom
formation energy from raw total energies: -105.78 kJ per mole of atoms

abc: 3.8897 3.8897 6.3636
angles: 90.00 90.00 90.00
With the nearest neighbours (Å) after each atom.
Space group P4/mmm (No. 123)
Symmetry-distinct sites (fractional):
Ti (0.0000, 0.0000, 0.0000) x1  4 O 1.94
Se (0.5000, 0.5000, 0.5000) x1  4 I 2.75
I (0.0000, 0.0000, 0.5000) x1  4 Se 2.75
O (0.0000, 0.5000, 0.0000) x2  2 Ti 1.94

---

# 2
Computed, not measured: RbNa3Pd after structural relaxation at the GGA-PBE level of DFT.

Values from the calculation:
polymorph energy (0 for the lowest one): 0 meV/atom
ρ: 2.3 g/cm3
final energy: -1.999 eV per atom

abc: 5.7320 5.7320 5.7320
angles: 90.00 90.00 90.00
With the nearest neighbours (Å) after each atom.
Space group Pm-3m (No. 221)
Symmetry-distinct sites (fractional):
Rb (0.0000, 0.0000, 0.0000) x1  12 Na 4.05
Na (0.0000, 0.5000, 0.5000) x3  2 Pd 2.87
Pd (0.5000, 0.5000, 0.5000) x1  6 Na 2.87

---

# 3
Computed, not measured: Zn2CdCu after structural relaxation at the GGA-PBE level of DFT.

Values from the calculation:
ρ: 8.0 g/cm3
final energy: -1.801 eV per atom

abc: 5.5218 7.8578 2.9394
angles: 90.00 90.00 90.00
With the nearest neighbours (Å) after each atom.
Space group Cmmm (No. 65)
Symmetry-distinct sites (fractional):
Zn (0.2500, 0.2500, 0.0000) x4  4 Zn 2.76-2.94, 4 Cd 2.82, 4 Cu 2.82
Cd (0.0000, 0.0000, 0.5000) x2  2 Cu 2.76, 8 Zn 2.82, 2 Cd 2.94
Cu (0.0000, 0.5000, 0.5000) x2  2 Cd 2.76, 8 Zn 2.82, 2 Cu 2.94

---

# 4
Computed, not measured: KAlSbOs2 after structural relaxation at the GGA-PBE level of DFT.

Values from the calculation:
polymorph energy (0 for the lowest one): 1331 meV/atom
ρ: 8.0 g/cm3
final energy: -3.132 eV per atom
formation energy from raw total energies: 304.12 kJ per mole of atoms

abc: 4.6826 4.6826 5.4004
angles: 90.00 90.00 90.00
With the nearest neighbours (Å) after each atom.
Space group P4/mmm (No. 123)
Symmetry-distinct sites (fractional):
K (0.0000, 0.0000, 0.0000) x1  4 Os 2.34
Al (0.5000, 0.5000, 0.5000) x1  4 Sb 3.31, 8 Os 3.57
Sb (0.0000, 0.0000, 0.5000) x1  2 K 2.70
Os (0.0000, 0.5000, 0.0000) x2  2 K 2.34

---

# 5
Computed, not measured: Rb2AlGaIr after structural relaxation at the GGA-PBE level of DFT.

Values from the calculation:
ρ: 3.5 g/cm3
final energy: -2.374 eV per atom

abc: 6.8682 6.8682 4.6136
angles: 90.00 90.00 90.00
With the nearest neighbours (Å) after each atom.
Space group P4/mmm (No. 123)
Symmetry-distinct sites (fractional):
Rb (0.0000, 0.5000, 0.0000) x2  2 Ga 3.43
Al (0.0000, 0.0000, 0.5000) x1  2 Ga 2.31
Ga (0.0000, 0.0000, 0.0000) x1  2 Al 2.31
Ir (0.5000, 0.5000, 0.5000) x1  8 Rb 4.14, 2 Ir 4.61

---

# 6
Computed, not measured: Li3TlSn3 after structural relaxation at the GGA-PBE level of DFT.

Values from the calculation:
ρ: 4.7 g/cm3
final energy: -2.562 eV per atom

abc: 7.4520 7.4520 7.4520
angles: 90.00 90.00 90.00
With the nearest neighbours (Å) after each atom.
Space group Pm-3n (No. 223)
Symmetry-distinct sites (fractional):
Li (0.0000, 0.2500, 0.5000) x6  4 Sn 2.63
Tl (0.0000, 0.0000, 0.0000) x2  12 Sn 4.17, 12 Li 4.17
Sn (0.0000, 0.5000, 0.2500) x6  4 Li 2.63

---

# 7
Computed, not measured: Pr2AgPt after structural relaxation at the GGA-PBE level of DFT.

Values from the calculation:
ρ: 8.4 g/cm3
final energy: -5.204 eV per atom

abc: 4.2447 4.2447 22.2353
angles: 90.00 90.00 120.00
With the nearest neighbours (Å) after each atom.
Space group R-3m (No. 166, hexagonal axes)
Symmetry-distinct sites (fractional):
Pr (0.0000, 0.0000, 0.2408) x6  3 Pt 2.95, 3 Ag 3.20
Ag (0.0000, 0.0000, 0.0000) x3  6 Pr 3.20
Pt (0.0000, 0.0000, 0.5000) x3  6 Pr 2.95

---

# 8
Computed, not measured: Ba2YTiF after structural relaxation at the GGA-PBE level of DFT.

Values from the calculation:
ρ: 3.3 g/cm3
final energy: -3.659 eV per atom
formation energy from raw total energies: 34.38 kJ per mole of atoms

abc: 6.6732 6.6732 4.8190
angles: 90.00 90.00 90.00
With the nearest neighbours (Å) after each atom.
Space group P4/mmm (No. 123)
Symmetry-distinct sites (fractional):
Ba (0.0000, 0.5000, 0.0000) x2  2 Y 3.34
Y (0.0000, 0.0000, 0.0000) x1  2 Ti 2.41
Ti (0.0000, 0.0000, 0.5000) x1  2 Y 2.41
F (0.5000, 0.5000, 0.5000) x1  8 Ba 4.12